[1]
BaCa2In | PBE | relaxed

a b c (Å): 5.147 5.147 12.971
angles (deg): 78.56 78.56 90.00
Fractional coordinates of all 8 atoms:
Ca  0.597  0.125  0.250
Ca  0.153  0.625  0.250
Ca  0.375  0.403  0.750
Ca  0.875  0.847  0.750
Ba  0.000  0.000  0.000
Ba  0.750  0.250  0.500
In  0.500  0.500  0.000
In  0.250  0.750  0.500

Properties
- E (eV/atom) = -2.12
- calculated density (kg/m3) = 3346

[2]
KNpZn2O6 | PBE | relaxed

a b c (Å): 6.540 7.369 7.369
angles (deg): 88.56 77.38 77.38
Fractional coordinates of all 20 atoms:
K  0.250  0.910  0.090
K  0.750  0.090  0.910
Np  0.250  0.285  0.715
Np  0.750  0.715  0.285
Zn  0.376  0.764  0.628
Zn  0.124  0.372  0.236
Zn  0.624  0.236  0.372
Zn  0.876  0.628  0.764
O  0.236  0.010  0.733
O  0.264  0.267  0.990
O  0.764  0.990  0.267
O  0.736  0.733  0.010
O  0.441  0.762  0.345
O  0.059  0.655  0.238
O  0.559  0.238  0.655
O  0.941  0.345  0.762
O  0.201  0.586  0.718
O  0.299  0.282  0.414
O  0.799  0.414  0.282
O  0.701  0.718  0.586

Properties
- formation energy without anion corrections (eV/atom) = -1.9398
- calculated density (kg/m3) = 4940

[3]
NaTlGe | PBE | relaxed

a b c (Å): 5.742 3.961 10.225
angles (deg): 54.33 111.58 90.17
Fractional coordinates of all 6 atoms:
Na  0.777  0.653  0.989
Na  0.459  0.796  0.560
Tl  0.360  0.964  0.113
Tl  0.070  0.070  0.709
Ge  0.034  0.651  0.323
Ge  0.793  0.077  0.371

Properties
- E (eV/atom) = -2.76
- calculated density (kg/m3) = 5908

[4]
LaEr3Tl3 | PBE | relaxed

a b c (Å): 5.250 9.497 9.497
angles (deg): 120.00 90.00 90.00
Fractional coordinates of all 14 atoms:
La  0.250  0.667  0.333
La  0.750  0.333  0.667
Er  0.250  0.771  0.772
Er  0.250  0.228  0.999
Er  0.250  0.001  0.229
Er  0.750  0.229  0.228
Er  0.750  0.772  0.001
Er  0.750  0.999  0.771
Tl  0.750  0.625  0.553
Tl  0.750  0.447  0.072
Tl  0.750  0.928  0.375
Tl  0.250  0.375  0.447
Tl  0.250  0.553  0.928
Tl  0.250  0.072  0.625

Properties
- E (eV/atom) = -3.94
- calculated density (kg/m3) = 10155

[5]
AlNiOs | PBE | relaxed

a b c (Å): 6.426 6.226 2.656
angles (deg): 82.15 73.68 24.17
Fractional coordinates of all 3 atoms:
Ni  0.340  0.340  0.660
Os  0.666  0.666  0.334
Al  0.994  0.994  0.006

Properties
- distance to the lowest polymorph of the same formula (meV per atom) = 152
- calculated density (kg/m3) = 11520

[6]
Hg2TeMo | PBE | relaxed

a b c (Å): 5.448 5.448 5.448
angles (deg): 131.90 131.90 70.38
Last column: magnetic moment on the atom in μB.
Fractional coordinates of all 4 atoms:
Hg  0.000  0.000  0.000  -0.02
Hg  0.250  0.750  0.500  -0.01
Mo  0.500  0.500  0.000  1.87
Te  0.750  0.250  0.500  -0.06

Properties
- formation energy without anion corrections (eV/atom) = 0.6374
- calculated density (kg/m3) = 11818

[7]
SiPb2O | PBE | relaxed

a b c (Å): 5.741 5.741 7.572
angles (deg): 67.72 67.72 90.00
Fractional coordinates of all 8 atoms:
Pb  0.568  0.125  0.250
Pb  0.182  0.625  0.250
Pb  0.375  0.432  0.750
Pb  0.875  0.818  0.750
Si  0.000  0.000  0.000
Si  0.750  0.250  0.500
O  0.500  0.500  0.000
O  0.250  0.750  0.500

Properties
- distance to the lowest polymorph of the same formula (meV per atom) = 0
- formation energy without anion corrections (eV/atom) = -0.0297
- calculated density (kg/m3) = 7227

[8]
YCr2Ag | PBE | relaxed

a b c (Å): 3.567 3.567 6.428
angles (deg): 90.00 90.00 90.00
Last column: magnetic moment on the atom in μB.
Fractional coordinates of all 4 atoms:
Ag  0.500  0.500  0.750  0.07
Cr  0.000  0.000  0.975  3.59
Cr  0.000  0.000  0.525  3.59
Y  0.500  0.500  0.250  0.00

Properties
- distance to the lowest polymorph of the same formula (meV per atom) = 277
- calculated density (kg/m3) = 6108